PBE-GGA LaCdBr2, relaxed; excess energy over the best structure of this formula in the dataset = 227 meV/atom; E_tot = -13.1 eV per cell; E_form (uncorrected) = -0.9729 eV/atom; DOS at the Fermi energy = 0.6238 states/eV per atom; magnetization = 0.0001 μB per atom
1.0
-1.2312 -3.6043 2.3525
4.4445 -2.6298 -1.7031
2.3263 1.5777 3.6347
Cd Br La
1 2 1
Cartesian
0.5476 -1.0133 2.9936
0.0000 0.0000 0.0000
1.6067 -3.1170 0.3247
3.3854 -0.5260 0.9658